No. 1
Computed, not measured: a relaxed PmEr2Tl9 crystal at the GGA-PBE level of DFT.

abc: 4.7749 4.7749 14.3268
angles: 90.00 90.00 90.00
Last column: nearest neighbours and their distance in Å.
Fractional positions:
Pm 0.0000 0.0000 0.0000  12 Tl 3.38-3.41
Er 0.0000 0.0000 0.3343  12 Tl 3.35-3.38
Er 0.0000 0.0000 0.6657  12 Tl 3.35-3.38
Tl 0.0000 0.5000 0.1698  2 Er 3.35, 8 Tl 3.36-3.41, 2 Pm 3.41
Tl 0.0000 0.5000 0.5000  8 Tl 3.37-3.38, 4 Er 3.37
Tl 0.0000 0.5000 0.8302  2 Er 3.35, 8 Tl 3.36-3.41, 2 Pm 3.41
Tl 0.5000 0.0000 0.1698  2 Er 3.35, 8 Tl 3.36-3.41, 2 Pm 3.41
Tl 0.5000 0.0000 0.5000  8 Tl 3.37-3.38, 4 Er 3.37
Tl 0.5000 0.0000 0.8302  2 Er 3.35, 8 Tl 3.36-3.41, 2 Pm 3.41
Tl 0.5000 0.5000 0.0000  4 Pm 3.38, 8 Tl 3.41
Tl 0.5000 0.5000 0.3344  8 Tl 3.36-3.37, 4 Er 3.38
Tl 0.5000 0.5000 0.6656  8 Tl 3.36-3.37, 4 Er 3.38

Calculated values
energy of formation from the pure elements	-0.2362	eV/atom
volume	27.220	Å³ per atom

---

No. 2
Computed, not measured: a relaxed Pm2ErTl4 crystal at the GGA-PBE level of DFT.

abc: 7.9379 10.3105 5.3097
angles: 90.00 90.00 90.00
Last column: nearest neighbours and their distance in Å.
Fractional positions:
Pm 0.0000 0.2109 0.0000  8 Tl 3.16-3.42
Pm 0.0000 0.7891 0.0000  8 Tl 3.16-3.42
Pm 0.5000 0.2891 0.0000  8 Tl 3.16-3.42
Pm 0.5000 0.7109 0.0000  8 Tl 3.16-3.42
Er 0.0000 0.5000 0.5000  8 Tl 3.14-3.25
Er 0.5000 0.0000 0.5000  8 Tl 3.14-3.25
Tl 0.2106 0.5000 0.0000  2 Er 3.14, 4 Pm 3.16-3.42, 1 Tl 3.34
Tl 0.2500 0.2500 0.5000  2 Er 3.25, 4 Pm 3.34
Tl 0.2500 0.7500 0.5000  2 Er 3.25, 4 Pm 3.34
Tl 0.2894 0.0000 0.0000  2 Er 3.14, 4 Pm 3.16-3.42, 1 Tl 3.34
Tl 0.7106 0.0000 0.0000  2 Er 3.14, 4 Pm 3.16-3.42, 1 Tl 3.34
Tl 0.7500 0.2500 0.5000  2 Er 3.25, 4 Pm 3.34
Tl 0.7500 0.7500 0.5000  2 Er 3.25, 4 Pm 3.34
Tl 0.7894 0.5000 0.0000  2 Er 3.14, 4 Pm 3.16-3.42, 1 Tl 3.34

Calculated values
energy of formation from the pure elements	-0.2403	eV/atom
volume	31.040	Å³ per atom

---

No. 3
Computed, not measured: a relaxed Pm3Er4Tl crystal at the GGA-PBE level of DFT.

abc: 11.2434 7.0753 6.2118
angles: 90.00 90.00 90.00
Last column: nearest neighbours and their distance in Å.
Fractional positions:
Pm 0.0000 0.1289 0.0000  5 Er 3.36-3.55, 4 Pm 3.44-3.56, 1 Tl 3.49
Pm 0.2366 0.1160 0.3502  2 Tl 3.41-3.57, 4 Pm 3.44-3.56, 6 Er 3.47-3.70
Pm 0.2634 0.8840 0.8502  2 Tl 3.41-3.57, 4 Pm 3.44-3.56, 6 Er 3.47-3.70
Pm 0.5000 0.8711 0.5000  5 Er 3.36-3.55, 4 Pm 3.44-3.56, 1 Tl 3.49
Pm 0.7366 0.8840 0.8502  2 Tl 3.41-3.57, 4 Pm 3.44-3.56, 6 Er 3.47-3.70
Pm 0.7634 0.1160 0.3502  2 Tl 3.41-3.57, 4 Pm 3.44-3.56, 6 Er 3.47-3.70
Er 0.0000 0.3820 0.5416  3 Pm 3.36-3.47, 6 Er 3.38-3.67, 2 Tl 3.38-3.69
Er 0.0000 0.6278 0.0218  6 Er 3.44-3.67, 2 Tl 3.47-3.56, 4 Pm 3.53-3.63
Er 0.2406 0.6226 0.3638  1 Tl 3.35, 6 Er 3.38-3.56, 5 Pm 3.49-3.70
Er 0.2594 0.3774 0.8638  1 Tl 3.35, 6 Er 3.38-3.56, 5 Pm 3.49-3.70
Er 0.5000 0.3722 0.5218  6 Er 3.44-3.67, 2 Tl 3.47-3.56, 4 Pm 3.53-3.63
Er 0.5000 0.6180 0.0416  3 Pm 3.36-3.47, 6 Er 3.38-3.67, 2 Tl 3.38-3.69
Er 0.7406 0.3774 0.8638  1 Tl 3.35, 6 Er 3.38-3.56, 5 Pm 3.49-3.70
Er 0.7594 0.6226 0.3638  1 Tl 3.35, 6 Er 3.38-3.56, 5 Pm 3.49-3.70
Tl 0.0000 0.8602 0.5298  6 Er 3.35-3.69, 5 Pm 3.41-3.57
Tl 0.5000 0.1398 0.0298  6 Er 3.35-3.69, 5 Pm 3.41-3.57

Calculated values
energy of formation from the pure elements	-0.0778	eV/atom
volume	30.885	Å³ per atom

---

No. 4
Computed, not measured: a relaxed Pm2ErTl crystal at the GGA-PBE level of DFT.

abc: 3.6036 3.6036 33.8596
angles: 90.00 90.00 120.00
Last column: nearest neighbours and their distance in Å.
Fractional positions:
Pm 0.0000 0.0000 0.2480  3 Tl 3.45, 3 Er 3.56, 6 Pm 3.60
Pm 0.0000 0.0000 0.7520  3 Tl 3.45, 3 Er 3.56, 6 Pm 3.60
Pm 0.3333 0.6667 0.4187  3 Tl 3.45, 3 Er 3.56, 6 Pm 3.60
Pm 0.3333 0.6667 0.9146  3 Tl 3.45, 3 Er 3.56, 6 Pm 3.60
Pm 0.6667 0.3333 0.0854  3 Tl 3.45, 3 Er 3.56, 6 Pm 3.60
Pm 0.6667 0.3333 0.5813  3 Tl 3.45, 3 Er 3.56, 6 Pm 3.60
Er 0.0000 0.0000 0.0000  6 Pm 3.56, 6 Er 3.60
Er 0.3333 0.6667 0.6667  6 Pm 3.56, 6 Er 3.60
Er 0.6667 0.3333 0.3333  6 Pm 3.56, 6 Er 3.60
Tl 0.0000 0.0000 0.5000  6 Pm 3.45, 6 Tl 3.60
Tl 0.3333 0.6667 0.1667  6 Pm 3.45, 6 Tl 3.60
Tl 0.6667 0.3333 0.8333  6 Pm 3.45, 6 Tl 3.60

Calculated values
energy of formation from the pure elements	-0.0857	eV/atom
volume	31.732	Å³ per atom

---

What did the fourth record say?
Computed, not measured: a relaxed Pm2ErTl crystal at the GGA-PBE level of DFT.

abc: 3.6036 3.6036 33.8596
angles: 90.00 90.00 120.00
Last column: nearest neighbours and their distance in Å.
Fractional positions:
Pm 0.0000 0.0000 0.2480  3 Tl 3.45, 3 Er 3.56, 6 Pm 3.60
Pm 0.0000 0.0000 0.7520  3 Tl 3.45, 3 Er 3.56, 6 Pm 3.60
Pm 0.3333 0.6667 0.4187  3 Tl 3.45, 3 Er 3.56, 6 Pm 3.60
Pm 0.3333 0.6667 0.9146  3 Tl 3.45, 3 Er 3.56, 6 Pm 3.60
Pm 0.6667 0.3333 0.0854  3 Tl 3.45, 3 Er 3.56, 6 Pm 3.60
Pm 0.6667 0.3333 0.5813  3 Tl 3.45, 3 Er 3.56, 6 Pm 3.60
Er 0.0000 0.0000 0.0000  6 Pm 3.56, 6 Er 3.60
Er 0.3333 0.6667 0.6667  6 Pm 3.56, 6 Er 3.60
Er 0.6667 0.3333 0.3333  6 Pm 3.56, 6 Er 3.60
Tl 0.0000 0.0000 0.5000  6 Pm 3.45, 6 Tl 3.60
Tl 0.3333 0.6667 0.1667  6 Pm 3.45, 6 Tl 3.60
Tl 0.6667 0.3333 0.8333  6 Pm 3.45, 6 Tl 3.60

Calculated values
energy of formation from the pure elements	-0.0857	eV/atom
volume	31.732	Å³ per atom